Entry 1:
Here is a relaxed structure of PrAlSn3 from Alexandria. Energies are from PBE-GGA.

Cell lengths 6.4734, 6.3407, 12.7920 Å; angles 90.00, 90.00, 90.00 degrees
Positions (direct):
Sn (0.7500, 0.5160, 0.2509)
Sn (0.7500, 0.3510, 0.9376)
Sn (0.5000, 0.2500, 0.5001)
Sn (0.2500, 0.6490, 0.0624)
Sn (0.0000, 0.2500, 0.5001)
Sn (0.5000, 0.7500, 0.4999)
Sn (0.7500, 0.0160, 0.7491)
Sn (0.2500, 0.1490, 0.9376)
Sn (0.0000, 0.7500, 0.4999)
Sn (0.7500, 0.8510, 0.0624)
Sn (0.2500, 0.4840, 0.7491)
Sn (0.2500, 0.9840, 0.2509)
Al (0.5000, 0.2500, 0.1139)
Al (0.0000, 0.2500, 0.1139)
Al (0.0000, 0.7500, 0.8861)
Al (0.5000, 0.7500, 0.8861)
Pr (0.2500, 0.9905, 0.6965)
Pr (0.7500, 0.5095, 0.6965)
Pr (0.7500, 0.0095, 0.3035)
Pr (0.2500, 0.4905, 0.3035)

## Properties
total magnetic moment	0.0	Bohr magnetons per cell
total energy	-88.7	eV/cell
ΔE_f	-0.3285	eV/atom

***

Entry 2:
Here is a relaxed structure of Pr3Al4Sn2 from Alexandria. Energies are from PBE-GGA.

Cell lengths 4.5091, 6.2584, 8.9280 Å; angles 102.67, 90.00, 111.12 degrees
Positions (direct):
Sn (0.3833, 0.7666, 0.7207)
Sn (0.6167, 0.2334, 0.2793)
Al (0.7326, 0.4652, 0.0545)
Al (0.0452, 0.0903, 0.3862)
Al (0.2674, 0.5348, 0.9455)
Al (0.9548, 0.9097, 0.6138)
Pr (0.0000, 0.0000, 0.0000)
Pr (0.6646, 0.3291, 0.6697)
Pr (0.3354, 0.6709, 0.3303)

## Properties
total magnetic moment	0.0	Bohr magnetons per cell
total energy	-42.2	eV/cell
ΔE_f	-0.5449	eV/atom